Computed, not measured: a relaxed structure of LiCrNi at the PBE level of DFT.

Unit cell a=4.0537 b=4.2152 c=8.4141 alpha=90.00 beta=90.00 gamma=90.00
With the nearest neighbours (Å) after each atom.
Atoms (fractional coordinates):
Li (0.4368, 0.0000, 0.9559)  2 Ni 2.47, 2 Li 2.52, 4 Cr 2.53
Li (0.4368, 0.5000, 0.4559)  2 Ni 2.47, 2 Li 2.52, 4 Cr 2.53
Li (0.4365, 0.0000, 0.2921)  4 Ni 2.42-2.48, 2 Li 2.52, 2 Cr 2.54
Li (0.4365, 0.5000, 0.7921)  4 Ni 2.42-2.48, 2 Li 2.52, 2 Cr 2.54
Cr (0.4364, 0.0000, 0.6230)  2 Cr 2.40, 2 Ni 2.49-2.50, 4 Li 2.53-2.54
Cr (0.4364, 0.5000, 0.1230)  2 Cr 2.40, 2 Ni 2.49-2.50, 4 Li 2.53-2.54
Cr (0.9366, 0.0000, 0.7764)  2 Cr 2.40, 4 Ni 2.47-2.56, 2 Li 2.53
Cr (0.9366, 0.5000, 0.2764)  2 Cr 2.40, 4 Ni 2.47-2.56, 2 Li 2.53
Ni (0.9368, 0.0000, 0.1228)  4 Li 2.47-2.48, 2 Cr 2.47, 3 Ni 2.56-2.75
Ni (0.9368, 0.5000, 0.6228)  4 Li 2.47-2.48, 2 Cr 2.47, 3 Ni 2.56-2.75
Ni (0.9366, 0.0000, 0.4500)  2 Li 2.42, 4 Cr 2.49-2.56, 2 Ni 2.56
Ni (0.9366, 0.5000, 0.9500)  2 Li 2.42, 4 Cr 2.49-2.56, 2 Ni 2.56

Calculated values
**Space group**: No. 38



Computed, not measured: a relaxed structure of Li2CrNi at the PBE level of DFT.

Unit cell a=4.9928 b=4.9928 c=4.9928 alpha=145.97 beta=127.77 gamma=63.82
With the nearest neighbours (Å) after each atom.
Atoms (fractional coordinates):
Cr (0.2675, 0.7675, 0.5000)  2 Ni 2.45, 6 Li 2.65-2.74
Li (0.9940, 0.9940, 0.0000)  2 Li 2.61, 4 Ni 2.64, 4 Cr 2.74-2.92
Li (0.7392, 0.2392, 0.5000)  2 Ni 2.50, 2 Li 2.61, 4 Cr 2.65
Ni (0.4992, 0.4992, 0.0000)  2 Cr 2.45, 6 Li 2.50-2.64

Calculated values
**Space group**: No. 44



Computed, not measured: a relaxed structure of Li2CrNi at the PBE level of DFT.

Unit cell a=9.0846 b=9.0846 c=9.0846 alpha=15.74 beta=15.74 gamma=15.74
With the nearest neighbours (Å) after each atom.
Atoms (fractional coordinates):
Cr (0.7500, 0.7500, 0.7500)  6 Cr 2.49, 6 Li 2.77
Li (0.9952, 0.9952, 0.9952)  6 Li 2.49, 3 Ni 2.56, 3 Cr 2.77
Li (0.5048, 0.5048, 0.5048)  6 Li 2.49, 3 Ni 2.56, 3 Cr 2.77
Ni (0.2500, 0.2500, 0.2500)  6 Ni 2.49, 6 Li 2.56

Calculated values
**Space group**: No. 166



Computed, not measured: a relaxed structure of LiCrNi at the PBE level of DFT.

Unit cell a=3.8335 b=3.8335 c=3.8335 alpha=60.00 beta=60.00 gamma=60.00
With the nearest neighbours (Å) after each atom.
Atoms (fractional coordinates):
Cr (0.0000, 0.0000, 0.0000)  4 Ni 2.35
Li (0.5000, 0.5000, 0.5000)  4 Ni 2.35
Ni (0.7500, 0.7500, 0.7500)  4 Li 2.35, 4 Cr 2.35

Calculated values
**Space group**: No. 216



Computed, not measured: a relaxed structure of LiCrNi2 at the PBE level of DFT.

Unit cell a=4.0195 b=4.0195 c=4.0195 alpha=60.00 beta=60.00 gamma=60.00
With the nearest neighbours (Å) after each atom.
Atoms (fractional coordinates):
Ni (0.2500, 0.2500, 0.2500)  4 Cr 2.46, 4 Li 2.46
Ni (0.7500, 0.7500, 0.7500)  4 Cr 2.46, 4 Li 2.46
Li (0.0000, 0.0000, 0.0000)  8 Ni 2.46
Cr (0.5000, 0.5000, 0.5000)  8 Ni 2.46

Calculated values
**Space group**: No. 225



Computed, not measured: a relaxed structure of LiCrNi at the PBE level of DFT.

Unit cell a=2.4685 b=4.6614 c=6.1172 alpha=93.60 beta=95.79 gamma=94.00
With the nearest neighbours (Å) after each atom.
Atoms (fractional coordinates):
Li (0.5907, 0.4792, 0.6883)  5 Ni 2.43-2.64, 4 Li 2.47-2.49, 1 Cr 2.56
Li (0.0285, 0.6021, 0.3538)  2 Ni 2.34-2.54, 4 Li 2.47-2.49, 2 Cr 2.52-2.56
Cr (0.5312, 0.0814, 0.3118)  1 Cr 2.09
Cr (0.6405, 0.8501, 0.0178)  1 Cr 2.09
Ni (0.0793, 0.9953, 0.6636)  3 Ni 2.47-2.63, 4 Cr 2.49-2.62, 4 Li 2.50-2.64
Ni (0.1294, 0.3513, 0.0180)  3 Li 2.34-2.50, 3 Cr 2.43-2.57, 2 Ni 2.47

Calculated values
**Space group**: No. 1



| no. | formation enthalpy at 0 K (eV/f.u.) | excess energy over the best structure of this formula in the dataset (meV/atom) | Fermi-level density of states (states/eV/f.u.) |
| --- | --- | --- | --- |
| 1 | 0.7 | 39 | 1.5 |
| 2 | 1.4 | 142 | 2.7 |
| 3 | 1.0 | 38 | 4.9 |
| 4 | 2.1 | 531 | 4.8 |
| 5 | 0.6 | 108 | 5.8 |
| 6 | 0.6 | 11 | 2.8 |